(1)
# PBE Ba6TeAs2P, optimized geometry
# ΔE_f (raw): -1.07 eV/atom
# total moment: 0.9 μB per formula unit
data_Ba6TeAs2P
_cell_length_a 7.996
_cell_length_b 8.831
_cell_length_c 14.527
_cell_angle_alpha 90.00
_cell_angle_beta 122.29
_cell_angle_gamma 90.00
_space_group_name_H-M_alt 'P 1 21/c 1'
_space_group_IT_number 14
loop_
_space_group_symop_operation_xyz
'x,y,z'
'-x,-y,-z'
'-x,y+1/2,-z+1/2'
'x,-y+1/2,z+1/2'
loop_
_atom_site_label
_atom_site_fract_x
_atom_site_fract_y
_atom_site_fract_z
_atom_site_occupancy
Ba1 0.083 0.197 0.415 1
Ba2 0.215 0.678 0.409 1
Ba3 0.398 0.067 0.236 1
Te1 0.500 0.000 0.500 1
As1 0.195 0.099 0.745 1
P1 0.000 0.000 0.000 1

=====

(2)
# PBE LaHgGe3, optimized geometry
# total moment: 0.0 μB per formula unit
# energy of formation from the pure elements: 0.3078 eV per atom
# energy above the most stable polymorph in this dataset: 0 meV per atom
data_LaHgGe3
_cell_length_a 5.196
_cell_length_b 5.196
_cell_length_c 5.196
_cell_angle_alpha 90.00
_cell_angle_beta 90.00
_cell_angle_gamma 90.00
_space_group_name_H-M_alt 'P m -3 m'
_space_group_IT_number 221
_space_group_name_Hall '-P 4 2 3'
loop_
_atom_site_label
_atom_site_fract_x
_atom_site_fract_y
_atom_site_fract_z
_atom_site_occupancy
La1 0.000 0.000 0.000 1
Hg1 0.500 0.500 0.500 1
Ge1 0.000 0.500 0.500 1

=====

(3)
# PBE Na2Hf2USe6, optimized geometry
# ΔE_f (raw): -1.26 eV/atom
# total moment: 3.6 μB per formula unit
data_Na2Hf2USe6
_cell_length_a 6.728
_cell_length_b 11.746
_cell_length_c 7.544
_cell_angle_alpha 90.00
_cell_angle_beta 107.01
_cell_angle_gamma 90.00
_space_group_name_H-M_alt 'C 1 2/m 1'
_space_group_IT_number 12
loop_
_space_group_symop_operation_xyz
'x,y,z'
'-x,-y,-z'
'-x,y,-z'
'x,-y,z'
'x+1/2,y+1/2,z'
'-x+1/2,-y+1/2,-z'
'-x+1/2,y+1/2,-z'
'x+1/2,-y+1/2,z'
loop_
_atom_site_label
_atom_site_fract_x
_atom_site_fract_y
_atom_site_fract_z
_atom_site_occupancy
Na1 0.000 0.162 0.000 1
Hf1 0.000 0.333 0.500 1
U1 0.000 0.000 0.500 1
Se1 0.220 0.500 0.723 1
Se2 0.248 0.175 0.723 1

=====

(4)
# PBE MnTlAs2Br, optimized geometry
# ΔE_f (raw): 1.00 eV/atom
# total moment: 3.7 μB per formula unit
# energy above the most stable polymorph in this dataset: 982 meV per atom
data_MnTlAs2Br
_cell_length_a 5.348
_cell_length_b 5.348
_cell_length_c 5.687
_cell_angle_alpha 90.00
_cell_angle_beta 90.00
_cell_angle_gamma 90.00
_space_group_name_H-M_alt 'P 4/m m m'
_space_group_IT_number 123
_space_group_name_Hall '-P 4 2'
loop_
_atom_site_label
_atom_site_fract_x
_atom_site_fract_y
_atom_site_fract_z
_atom_site_occupancy
Mn1 0.000 0.000 0.000 1
Tl1 0.500 0.500 0.500 1
As1 0.000 0.500 0.500 1
Br1 0.500 0.500 0.000 1

=====

(5)
# PBE Cs2Tl4Cu, optimized geometry
# total moment: 0.0 μB per formula unit
# energy of formation from the pure elements: 0.0590 eV per atom
data_Cs2Tl4Cu
_cell_length_a 5.350
_cell_length_b 5.350
_cell_length_c 20.806
_cell_angle_alpha 90.00
_cell_angle_beta 90.00
_cell_angle_gamma 90.00
_space_group_name_H-M_alt 'I 4/m m m'
_space_group_IT_number 139
_space_group_name_Hall '-I 4 2'
loop_
_atom_site_label
_atom_site_fract_x
_atom_site_fract_y
_atom_site_fract_z
_atom_site_occupancy
Cs1 0.000 0.000 0.166 1
Tl1 0.000 0.000 0.373 1
Tl2 0.000 0.500 0.000 1
Cu1 0.000 0.000 0.500 1

=====

(6)
# PBE H6PtF12, optimized geometry
# total moment: 2.0 μB per formula unit
data_H6PtF12
_cell_length_a 10.2061
_cell_length_b 10.2061
_cell_length_c 8.0469
_cell_angle_alpha 90.00
_cell_angle_beta 90.00
_cell_angle_gamma 120.00
_space_group_name_H-M_alt 'R -3'
_space_group_IT_number 148
_space_group_name_Hall '-R 3'
loop_
_atom_site_label
_atom_site_fract_x
_atom_site_fract_y
_atom_site_fract_z
_atom_site_occupancy
H1 0.0400 0.2187 0.0007 1
Pt1 0.0000 0.0000 0.5000 1
F1 0.0528 0.1708 0.3632 1
F2 0.0698 0.8095 0.9889 1

=====

(7)
# PBE CePuMg, optimized geometry
# total moment: 6.4 μB per formula unit
# energy of formation from the pure elements: 0.0839 eV per atom
# energy above the most stable polymorph in this dataset: 0 meV per atom
data_CePuMg
_cell_length_a 5.481
_cell_length_b 5.295
_cell_length_c 10.679
_cell_angle_alpha 90.00
_cell_angle_beta 92.73
_cell_angle_gamma 90.00
_space_group_name_H-M_alt 'C 1 2/m 1'
_space_group_IT_number 12
loop_
_space_group_symop_operation_xyz
'x,y,z'
'-x,-y,-z'
'-x,y,-z'
'x,-y,z'
'x+1/2,y+1/2,z'
'-x+1/2,-y+1/2,-z'
'-x+1/2,y+1/2,-z'
'x+1/2,-y+1/2,z'
loop_
_atom_site_label
_atom_site_fract_x
_atom_site_fract_y
_atom_site_fract_z
_atom_site_occupancy
Ce1 0.213 0.000 0.228 1
Pu1 0.213 0.000 0.900 1
Mg1 0.241 0.500 0.424 1

=====

(8)
# PBE Y5MgZn4, optimized geometry
# total moment: 0.0 μB per formula unit
# energy of formation from the pure elements: -0.3102 eV per atom
data_Y5MgZn4
_cell_length_a 3.587
_cell_length_b 3.587
_cell_length_c 18.562
_cell_angle_alpha 90.00
_cell_angle_beta 90.00
_cell_angle_gamma 90.00
_space_group_name_H-M_alt 'P 4/m m m'
_space_group_IT_number 123
_space_group_name_Hall '-P 4 2'
loop_
_atom_site_label
_atom_site_fract_x
_atom_site_fract_y
_atom_site_fract_z
_atom_site_occupancy
Y1 0.000 0.000 0.000 1
Y2 0.000 0.000 0.192 1
Y3 0.000 0.000 0.382 1
Mg1 0.500 0.500 0.500 1
Zn1 0.500 0.500 0.096 1
Zn2 0.500 0.500 0.290 1

=====

Which electronic total energy belongs to each record? In order, -40.127, -17.542, -68.548, -17.490, -14.855, -75.334, -21.609, -42.112 eV/f.u..